1.
First-principles (PBE-GGA) data for a relaxed structure of AlFe14W, as listed in Alexandria.

Lattice parameters (Å, degrees): 5.736 5.736 5.747 90.00 90.00 90.01
Each line ends with the local moment (μB).
Atoms (fractional coordinates):
Fe 0.375 0.375 0.000  2.59
Fe 0.125 0.125 0.756  2.02
Fe 0.625 0.625 0.244  2.02
Fe 0.125 0.625 0.756  2.02
Fe 0.875 0.875 0.000  2.37
Fe 0.125 0.625 0.244  2.02
Fe 0.375 0.875 0.000  2.45
Fe 0.625 0.125 0.756  2.02
Fe 0.875 0.375 0.500  2.30
Fe 0.625 0.125 0.244  2.02
Fe 0.375 0.875 0.500  2.30
Fe 0.875 0.375 0.000  2.45
Fe 0.625 0.625 0.756  2.02
Fe 0.125 0.125 0.244  2.02
W 0.875 0.875 0.500  -0.63
Al 0.375 0.375 0.500  -0.07

Properties
ΔH_f (0 K) (eV per atom): -0.041
DFT total energy (eV/cell): -135.8

=====

2.
First-principles (PBE-GGA) data for a relaxed structure of YBi2P2Pt7, as listed in Alexandria.

Lattice parameters (Å, degrees): 4.026 4.026 15.102 82.32 82.32 89.99
Atoms (fractional coordinates):
Pt 0.500 0.500 0.000
Pt 0.926 0.426 0.147
Pt 0.074 0.574 0.853
Pt 0.306 0.306 0.388
Pt 0.426 0.926 0.147
Pt 0.574 0.074 0.853
Pt 0.694 0.694 0.612
Bi 0.210 0.210 0.580
Bi 0.790 0.790 0.420
P 0.617 0.617 0.767
P 0.383 0.383 0.233
Y 0.000 0.000 0.000

Properties
ΔH_f (0 K) (eV per atom): -0.656
DFT total energy (eV/cell): -75.2

=====

3.
First-principles (PBE-GGA) data for a relaxed structure of TcOsO2, as listed in Alexandria.

Lattice parameters (Å, degrees): 6.949 6.949 6.949 22.59 22.59 22.59
Atoms (fractional coordinates):
Tc 0.500 0.500 0.500
O 0.099 0.099 0.099
O 0.901 0.901 0.901
Os 0.000 0.000 0.000

Properties
DFT total energy (eV/cell): -34.0
Offset from the most stable computed form (kJ per mole of atoms): 0.0
Uncorrected formation energy (eV/atom): -0.629

=====

4.
First-principles (PBE-GGA) data for a relaxed structure of Hg2PtRh, as listed in Alexandria.

Lattice parameters (Å, degrees): 4.804 4.804 5.262 79.42 79.42 37.18
Atoms (fractional coordinates):
Rh 0.500 0.500 0.000
Hg 0.248 0.248 0.754
Hg 0.752 0.752 0.246
Pt 0.000 0.000 0.500

Properties
ΔH_f (0 K) (eV per atom): 0.167
DFT total energy (eV/cell): -13.3